<i>
A plane-wave DFT calculation with PBE was carried out for a relaxed Sc2Sb2Te crystal.

Results
Magnetization in μB per atom: 0.00

Lattice parameters (Å, degrees): 8.2754 8.2754 3.7806 90.00 90.00 90.00
Last column: nearest neighbours and their distance in Å.
Fractional coordinates of all 10 atoms:
Sc 0.1549 0.6549 0.5000  6 Sb 3.03-3.11
Sc 0.6549 0.8451 0.5000  6 Sb 3.03-3.11
Sc 0.8451 0.3451 0.5000  6 Sb 3.03-3.11
Sc 0.3451 0.1549 0.5000  6 Sb 3.03-3.11
Sb 0.3569 0.8569 0.0000  6 Sc 3.03-3.11, 2 Te 3.18, 1 Sb 3.35
Sb 0.8569 0.6431 0.0000  6 Sc 3.03-3.11, 2 Te 3.18, 1 Sb 3.35
Sb 0.6431 0.1431 0.0000  6 Sc 3.03-3.11, 2 Te 3.18, 1 Sb 3.35
Sb 0.1431 0.3569 0.0000  6 Sc 3.03-3.11, 2 Te 3.18, 1 Sb 3.35
Te 0.0000 0.0000 0.0000  4 Sb 3.18
Te 0.5000 0.5000 0.0000  4 Sb 3.18



<ii>
A plane-wave DFT calculation with PBE was carried out for a relaxed Sc2Sb2Te crystal.

Results
Magnetization in μB per atom: 0.00

Lattice parameters (Å, degrees): 5.4272 5.4272 6.1531 63.83 63.83 90.00
Last column: nearest neighbours and their distance in Å.
Fractional coordinates of all 5 atoms:
Sc 0.7500 0.2500 0.5000  4 Sb 2.89
Sc 0.2500 0.7500 0.5000  4 Sb 2.89
Sb 0.3535 0.3535 0.2930  1 Sb 2.82, 4 Sc 2.89
Sb 0.6465 0.6465 0.7070  1 Sb 2.82, 4 Sc 2.89
Te 0.0000 0.0000 0.0000  2 Sb 3.40, 8 Sc 3.63



Ranking the structures above by energy, <ii> is first and the second is 149 meV per atom behind.